First-principles (PBE-GGA) data for a geometry-optimized PmCdAg structure, as listed in the Alexandria database.

Results
**ΔE_f**: -0.449 eV per formula unit
**ρ**: 7.324 g/cm³
**E_tot**: -2.989 eV per atom
**Excess energy over the best structure of this formula in the dataset**: 15.7 kJ per mole of atoms

a = 6.919 Å, b = 6.919 Å, c = 6.919 Å
α = 90.00°, β = 90.00°, γ = 90.00°
Space group F-43m (No. 216)
One atom of each set of equivalent atoms:
Pm  0.000  0.000  0.000
Cd  0.000  0.000  0.500
Ag  0.250  0.250  0.250


First-principles (PBE-GGA) data for a geometry-optimized SnPdPt structure, as listed in the Alexandria database.

Results
**ΔE_f**: -1.120 eV per formula unit
**ρ**: 13.064 g/cm³
**E_tot**: -5.452 eV per atom
**Excess energy over the best structure of this formula in the dataset**: 10.7 kJ per mole of atoms

a = 4.4137 Å, b = 4.4137 Å, c = 3.1659 Å
α = 90.00°, β = 90.00°, γ = 120.00°
Space group P3m1 (No. 156)
One atom of each set of equivalent atoms:
Sn  0.0000  0.0000  0.0000
Pd  0.6667  0.3333  0.6937
Pt  0.3333  0.6667  0.2460


First-principles (PBE-GGA) data for a geometry-optimized LiCaTe2 structure, as listed in the Alexandria database.

Results
**ρ**: 4.445 g/cm³
**E_tot**: -3.559 eV per atom
**Formation energy without anion corrections**: -4.04 eV/f.u.

a = 11.744 Å, b = 4.241 Å, c = 4.634 Å
α = 90.00°, β = 101.95°, γ = 90.00°
Space group Cm (No. 8)
One atom of each set of equivalent atoms:
Li  0.000  0.000  0.000
Ca  0.244  0.000  0.620
Te  0.024  0.500  0.598
Te  0.279  0.500  0.134


First-principles (PBE-GGA) data for a geometry-optimized CuSI3 structure, as listed in the Alexandria database.

Results
**ρ**: 5.271 g/cm³
**E_tot**: -1.938 eV per atom
**Formation energy without anion corrections**: 3.18 eV/f.u.
**Excess energy over the best structure of this formula in the dataset**: 59.7 kJ per mole of atoms

a = 5.314 Å, b = 5.314 Å, c = 5.314 Å
α = 90.00°, β = 90.00°, γ = 90.00°
Space group Pm-3m (No. 221)
One atom of each set of equivalent atoms:
Cu  0.000  0.000  0.000
S  0.500  0.500  0.500
I  0.000  0.000  0.500


First-principles (PBE-GGA) data for a geometry-optimized ScTi2AgO structure, as listed in the Alexandria database.

Results
**ρ**: 5.772 g/cm³
**E_tot**: -7.126 eV per atom
**Formation energy without anion corrections**: -5.70 eV/f.u.
**Excess energy over the best structure of this formula in the dataset**: 0.0 kJ per mole of atoms

a = 4.160 Å, b = 4.160 Å, c = 4.397 Å
α = 90.00°, β = 90.00°, γ = 90.00°
Space group P4/mmm (No. 123)
One atom of each set of equivalent atoms:
Sc  0.000  0.000  0.000
Ti  0.000  0.500  0.500
Ag  0.500  0.500  0.000
O  0.000  0.000  0.500


First-principles (PBE-GGA) data for a geometry-optimized Ta3BeN structure, as listed in the Alexandria database.

Results
**ρ**: 12.743 g/cm³
**E_tot**: -9.687 eV per atom
**Formation energy without anion corrections**: -0.83 eV/f.u.

a = 4.193 Å, b = 4.193 Å, c = 4.193 Å
α = 90.00°, β = 90.00°, γ = 90.00°
Space group Pm-3m (No. 221)
One atom of each set of equivalent atoms:
Ta  0.000  0.000  0.500
Be  0.500  0.500  0.500
N  0.000  0.000  0.000